# TlMo2Cl | Alexandria via LeMat-Bulk | PBE | relaxed
data_TlMo2Cl
_chemical_formula_sum 'Tl1 Mo2 Cl1'
_cell_length_a 3.117
_cell_length_b 3.117
_cell_length_c 9.259
_cell_angle_alpha 90.00
_cell_angle_beta 90.00
_cell_angle_gamma 124.53
_space_group_name_H-M_alt 'P 1'
_space_group_IT_number 1
loop_
_space_group_symop_operation_xyz
'x,y,z'
loop_
_atom_site_label
_atom_site_fract_x
_atom_site_fract_y
_atom_site_fract_z
Mo1 0.000 0.000 0.520
Mo2 0.000 0.000 0.980
Cl1 0.500 0.500 0.750
Tl1 0.500 0.500 0.250
# energy relative to the elements, uncorrected	0.78	eV/atom
# M_tot	1.455	μB/cell
# offset from the most stable computed form	621	meV/atom

---

# TlMoCl2 | Alexandria via LeMat-Bulk | PBE | relaxed
data_TlMoCl2
_chemical_formula_sum 'Tl1 Mo1 Cl2'
_cell_length_a 7.860
_cell_length_b 7.860
_cell_length_c 7.860
_cell_angle_alpha 156.89
_cell_angle_beta 146.66
_cell_angle_gamma 40.96
_space_group_name_H-M_alt 'P 1'
_space_group_IT_number 1
loop_
_space_group_symop_operation_xyz
'x,y,z'
loop_
_atom_site_label
_atom_site_fract_x
_atom_site_fract_y
_atom_site_fract_z
Cl1 0.009 0.009 0.000
Cl2 0.349 0.849 0.500
Tl1 0.665 0.165 0.500
Mo1 0.477 0.477 0.000
# energy relative to the elements, uncorrected	0.05	eV/atom
# M_tot	2.428	μB/cell
# offset from the most stable computed form	288	meV/atom

---

# TlMo2Cl | Alexandria via LeMat-Bulk | PBE | relaxed
data_TlMo2Cl
_chemical_formula_sum 'Tl1 Mo2 Cl1'
_cell_length_a 4.741
_cell_length_b 4.741
_cell_length_c 3.183
_cell_angle_alpha 90.00
_cell_angle_beta 90.00
_cell_angle_gamma 89.97
_space_group_name_H-M_alt 'P 1'
_space_group_IT_number 1
loop_
_space_group_symop_operation_xyz
'x,y,z'
loop_
_atom_site_label
_atom_site_fract_x
_atom_site_fract_y
_atom_site_fract_z
Cl1 0.000 0.500 0.500
Mo1 0.000 0.000 0.000
Mo2 0.500 0.500 0.000
Tl1 0.500 0.000 0.500
# energy relative to the elements, uncorrected	1.10	eV/atom
# M_tot	1.953	μB/cell
# offset from the most stable computed form	936	meV/atom

---

# TlMoCl2 | Alexandria via LeMat-Bulk | PBE | relaxed
data_TlMoCl2
_chemical_formula_sum 'Tl1 Mo1 Cl2'
_cell_length_a 5.806
_cell_length_b 5.806
_cell_length_c 6.699
_cell_angle_alpha 65.00
_cell_angle_beta 65.00
_cell_angle_gamma 31.85
_space_group_name_H-M_alt 'P 1'
_space_group_IT_number 1
loop_
_space_group_symop_operation_xyz
'x,y,z'
loop_
_atom_site_label
_atom_site_fract_x
_atom_site_fract_y
_atom_site_fract_z
Cl1 0.848 0.848 0.687
Cl2 0.014 0.014 0.063
Mo1 0.453 0.453 0.375
Tl1 0.185 0.185 0.376
# energy relative to the elements, uncorrected	-0.24	eV/atom
# M_tot	1.790	μB/cell
# offset from the most stable computed form	0	meV/atom

---

# Tl2MoCl | Alexandria via LeMat-Bulk | PBE | relaxed
data_Tl2MoCl
_chemical_formula_sum 'Tl2 Mo1 Cl1'
_cell_length_a 5.490
_cell_length_b 3.448
_cell_length_c 6.085
_cell_angle_alpha 58.48
_cell_angle_beta 90.00
_cell_angle_gamma 90.00
_space_group_name_H-M_alt 'P 1'
_space_group_IT_number 1
loop_
_space_group_symop_operation_xyz
'x,y,z'
loop_
_atom_site_label
_atom_site_fract_x
_atom_site_fract_y
_atom_site_fract_z
Cl1 0.500 0.250 0.250
Tl1 0.000 0.790 0.992
Tl2 0.000 0.710 0.508
Mo1 0.500 0.750 0.750
# energy relative to the elements, uncorrected	0.58	eV/atom
# M_tot	2.558	μB/cell
# offset from the most stable computed form	448	meV/atom

---

# TlMoCl3 | Alexandria via LeMat-Bulk | PBE | relaxed
data_TlMoCl3
_chemical_formula_sum 'Tl1 Mo1 Cl3'
_cell_length_a 5.448
_cell_length_b 5.448
_cell_length_c 5.448
_cell_angle_alpha 90.00
_cell_angle_beta 90.00
_cell_angle_gamma 90.00
_space_group_name_H-M_alt 'P 1'
_space_group_IT_number 1
loop_
_space_group_symop_operation_xyz
'x,y,z'
loop_
_atom_site_label
_atom_site_fract_x
_atom_site_fract_y
_atom_site_fract_z
Cl1 0.000 0.000 0.500
Cl2 0.000 0.500 0.000
Cl3 0.500 0.000 0.000
Mo1 0.500 0.500 0.500
Tl1 0.000 0.000 0.000
# energy relative to the elements, uncorrected	0.37	eV/atom
# M_tot	4.937	μB/cell
# offset from the most stable computed form	1030	meV/atom

---

# TlMo2Cl | Alexandria via LeMat-Bulk | PBE | relaxed
data_TlMo2Cl
_chemical_formula_sum 'Tl1 Mo2 Cl1'
_cell_length_a 3.148
_cell_length_b 3.164
_cell_length_c 6.866
_cell_angle_alpha 90.00
_cell_angle_beta 90.00
_cell_angle_gamma 90.00
_space_group_name_H-M_alt 'P 1'
_space_group_IT_number 1
loop_
_space_group_symop_operation_xyz
'x,y,z'
loop_
_atom_site_label
_atom_site_fract_x
_atom_site_fract_y
_atom_site_fract_z
Mo1 0.000 0.000 0.953
Mo2 0.000 0.000 0.547
Tl1 0.500 0.500 0.250
Cl1 0.500 0.500 0.750
# energy relative to the elements, uncorrected	0.95	eV/atom
# M_tot	0.000	μB/cell
# offset from the most stable computed form	787	meV/atom

---

# TlMo2Cl | Alexandria via LeMat-Bulk | PBE | relaxed
data_TlMo2Cl
_chemical_formula_sum 'Tl1 Mo2 Cl1'
_cell_length_a 5.621
_cell_length_b 5.621
_cell_length_c 5.621
_cell_angle_alpha 150.40
_cell_angle_beta 123.11
_cell_angle_gamma 65.44
_space_group_name_H-M_alt 'P 1'
_space_group_IT_number 1
loop_
_space_group_symop_operation_xyz
'x,y,z'
loop_
_atom_site_label
_atom_site_fract_x
_atom_site_fract_y
_atom_site_fract_z
Cl1 0.250 0.750 0.500
Mo1 0.478 0.478 0.000
Mo2 0.022 0.022 0.000
Tl1 0.750 0.250 0.500
# energy relative to the elements, uncorrected	0.72	eV/atom
# M_tot	0.000	μB/cell
# offset from the most stable computed form	557	meV/atom

---

# TlMoCl2 | Alexandria via LeMat-Bulk | PBE | relaxed
data_TlMoCl2
_chemical_formula_sum 'Tl1 Mo1 Cl2'
_cell_length_a 10.355
_cell_length_b 10.355
_cell_length_c 10.355
_cell_angle_alpha 18.08
_cell_angle_beta 18.08
_cell_angle_gamma 18.08
_space_group_name_H-M_alt 'P 1'
_space_group_IT_number 1
loop_
_space_group_symop_operation_xyz
'x,y,z'
loop_
_atom_site_label
_atom_site_fract_x
_atom_site_fract_y
_atom_site_fract_z
Tl1 0.750 0.750 0.750
Cl1 0.971 0.971 0.971
Cl2 0.529 0.529 0.529
Mo1 0.250 0.250 0.250
# energy relative to the elements, uncorrected	-0.20	eV/atom
# M_tot	0.000	μB/cell
# offset from the most stable computed form	39	meV/atom

---

# TlMo2Cl | Alexandria via LeMat-Bulk | PBE | relaxed
data_TlMo2Cl
_chemical_formula_sum 'Tl1 Mo2 Cl1'
_cell_length_a 4.461
_cell_length_b 3.001
_cell_length_c 5.866
_cell_angle_alpha 75.35
_cell_angle_beta 90.00
_cell_angle_gamma 90.00
_space_group_name_H-M_alt 'P 1'
_space_group_IT_number 1
loop_
_space_group_symop_operation_xyz
'x,y,z'
loop_
_atom_site_label
_atom_site_fract_x
_atom_site_fract_y
_atom_site_fract_z
Tl1 0.000 0.563 0.496
Cl1 0.500 0.890 0.837
Mo1 0.500 0.225 0.175
Mo2 0.000 0.822 0.992
# energy relative to the elements, uncorrected	0.55	eV/atom
# M_tot	0.000	μB/cell
# offset from the most stable computed form	383	meV/atom

---

# TlMoCl2 | Alexandria via LeMat-Bulk | PBE | relaxed
data_TlMoCl2
_chemical_formula_sum 'Tl1 Mo1 Cl2'
_cell_length_a 5.224
_cell_length_b 5.224
_cell_length_c 5.224
_cell_angle_alpha 60.00
_cell_angle_beta 60.00
_cell_angle_gamma 60.00
_space_group_name_H-M_alt 'P 1'
_space_group_IT_number 1
loop_
_space_group_symop_operation_xyz
'x,y,z'
loop_
_atom_site_label
_atom_site_fract_x
_atom_site_fract_y
_atom_site_fract_z
Cl1 0.250 0.250 0.250
Cl2 0.750 0.750 0.750
Tl1 0.500 0.500 0.500
Mo1 0.000 0.000 0.000
# energy relative to the elements, uncorrected	0.26	eV/atom
# M_tot	5.000	μB/cell
# offset from the most stable computed form	496	meV/atom

---

# Tl2MoCl | Alexandria via LeMat-Bulk | PBE | relaxed
data_Tl2MoCl
_chemical_formula_sum 'Tl2 Mo1 Cl1'
_cell_length_a 3.233
_cell_length_b 3.233
_cell_length_c 8.989
_cell_angle_alpha 90.00
_cell_angle_beta 90.00
_cell_angle_gamma 108.31
_space_group_name_H-M_alt 'P 1'
_space_group_IT_number 1
loop_
_space_group_symop_operation_xyz
'x,y,z'
loop_
_atom_site_label
_atom_site_fract_x
_atom_site_fract_y
_atom_site_fract_z
Cl1 0.500 0.500 0.250
Mo1 0.500 0.500 0.750
Tl1 0.000 0.000 0.992
Tl2 0.000 0.000 0.508
# energy relative to the elements, uncorrected	0.49	eV/atom
# M_tot	0.002	μB/cell
# offset from the most stable computed form	360	meV/atom

---

# TlMo2Cl | Alexandria via LeMat-Bulk | PBE | relaxed
data_TlMo2Cl
_chemical_formula_sum 'Tl1 Mo2 Cl1'
_cell_length_a 2.903
_cell_length_b 5.237
_cell_length_c 4.940
_cell_angle_alpha 90.00
_cell_angle_beta 90.00
_cell_angle_gamma 90.00
_space_group_name_H-M_alt 'P 1'
_space_group_IT_number 1
loop_
_space_group_symop_operation_xyz
'x,y,z'
loop_
_atom_site_label
_atom_site_fract_x
_atom_site_fract_y
_atom_site_fract_z
Mo1 0.500 0.500 0.000
Mo2 0.000 0.000 0.000
Tl1 0.500 0.000 0.500
Cl1 0.000 0.500 0.500
# energy relative to the elements, uncorrected	0.81	eV/atom
# M_tot	0.617	μB/cell
# offset from the most stable computed form	642	meV/atom

---

# TlMoCl2 | Alexandria via LeMat-Bulk | PBE | relaxed
data_TlMoCl2
_chemical_formula_sum 'Tl1 Mo1 Cl2'
_cell_length_a 6.811
_cell_length_b 6.811
_cell_length_c 6.811
_cell_angle_alpha 144.05
_cell_angle_beta 144.05
_cell_angle_gamma 51.75
_space_group_name_H-M_alt 'P 1'
_space_group_IT_number 1
loop_
_space_group_symop_operation_xyz
'x,y,z'
loop_
_atom_site_label
_atom_site_fract_x
_atom_site_fract_y
_atom_site_fract_z
Cl1 0.250 0.750 0.500
Cl2 0.000 0.000 0.000
Tl1 0.750 0.250 0.500
Mo1 0.500 0.500 0.000
# energy relative to the elements, uncorrected	0.26	eV/atom
# M_tot	5.002	μB/cell
# offset from the most stable computed form	498	meV/atom

---

# TlMo2Cl | Alexandria via LeMat-Bulk | PBE | relaxed
data_TlMo2Cl
_chemical_formula_sum 'Tl1 Mo2 Cl1'
_cell_length_a 6.319
_cell_length_b 6.319
_cell_length_c 7.609
_cell_angle_alpha 45.64
_cell_angle_beta 45.64
_cell_angle_gamma 28.99
_space_group_name_H-M_alt 'P 1'
_space_group_IT_number 1
loop_
_space_group_symop_operation_xyz
'x,y,z'
loop_
_atom_site_label
_atom_site_fract_x
_atom_site_fract_y
_atom_site_fract_z
Mo1 0.963 0.963 0.183
Mo2 0.537 0.537 0.317
Cl1 0.250 0.250 0.250
Tl1 0.750 0.750 0.750
# energy relative to the elements, uncorrected	0.44	eV/atom
# M_tot	0.000	μB/cell
# offset from the most stable computed form	273	meV/atom

---

# TlMoCl6 | Alexandria via LeMat-Bulk | PBE | relaxed
data_TlMoCl6
_chemical_formula_sum 'Tl1 Mo1 Cl6'
_cell_length_a 6.787
_cell_length_b 6.787
_cell_length_c 7.356
_cell_angle_alpha 62.53
_cell_angle_beta 62.53
_cell_angle_gamma 60.00
_space_group_name_H-M_alt 'P 1'
_space_group_IT_number 1
loop_
_space_group_symop_operation_xyz
'x,y,z'
loop_
_atom_site_label
_atom_site_fract_x
_atom_site_fract_y
_atom_site_fract_z
Cl1 0.602 0.090 0.218
Cl2 0.910 0.398 0.782
Cl3 0.398 0.910 0.782
Cl4 0.910 0.910 0.782
Cl5 0.090 0.602 0.218
Cl6 0.090 0.090 0.218
Mo1 0.000 0.000 0.000
Tl1 0.500 0.500 0.500
# energy relative to the elements, uncorrected	-0.84	eV/atom
# M_tot	1.002	μB/cell
# offset from the most stable computed form	47	meV/atom

---

# TlMo2Cl | Alexandria via LeMat-Bulk | PBE | relaxed
data_TlMo2Cl
_chemical_formula_sum 'Tl1 Mo2 Cl1'
_cell_length_a 9.028
_cell_length_b 9.028
_cell_length_c 9.028
_cell_angle_alpha 19.26
_cell_angle_beta 19.26
_cell_angle_gamma 19.26
_space_group_name_H-M_alt 'P 1'
_space_group_IT_number 1
loop_
_space_group_symop_operation_xyz
'x,y,z'
loop_
_atom_site_label
_atom_site_fract_x
_atom_site_fract_y
_atom_site_fract_z
Mo1 0.493 0.493 0.493
Mo2 0.007 0.007 0.007
Cl1 0.750 0.750 0.750
Tl1 0.250 0.250 0.250
# energy relative to the elements, uncorrected	0.73	eV/atom
# M_tot	0.411	μB/cell
# offset from the most stable computed form	567	meV/atom

---

# Tl4MoCl6 | Alexandria via LeMat-Bulk | PBE | relaxed
data_Tl4MoCl6
_chemical_formula_sum 'Tl8 Mo2 Cl12'
_cell_length_a 7.686
_cell_length_b 9.334
_cell_length_c 12.733
_cell_angle_alpha 65.44
_cell_angle_beta 72.43
_cell_angle_gamma 65.69
_space_group_name_H-M_alt 'P 1'
_space_group_IT_number 1
loop_
_space_group_symop_operation_xyz
'x,y,z'
loop_
_atom_site_label
_atom_site_fract_x
_atom_site_fract_y
_atom_site_fract_z
Cl1 0.604 0.612 0.826
Cl2 0.111 0.555 0.842
Cl3 0.379 0.192 0.039
Cl4 0.048 0.298 0.730
Cl5 0.958 0.112 0.326
Cl6 0.649 0.030 0.667
Cl7 0.851 0.455 0.461
Cl8 0.233 0.955 0.961
Cl9 0.924 0.798 0.230
Cl10 0.491 0.055 0.342
Cl11 0.390 0.692 0.539
Cl12 0.654 0.530 0.167
Tl1 0.308 0.864 0.239
Tl2 0.778 0.204 0.112
Tl3 0.906 0.704 0.612
Tl4 0.076 0.421 0.211
Tl5 0.569 0.301 0.432
Tl6 0.588 0.364 0.739
Tl7 0.291 0.921 0.711
Tl8 0.698 0.801 0.932
Mo1 0.668 0.753 0.395
Mo2 0.184 0.253 0.895
# energy relative to the elements, uncorrected	-0.80	eV/atom
# M_tot	8.000	μB/cell

---

# TlMo2Cl | Alexandria via LeMat-Bulk | PBE | relaxed
data_TlMo2Cl
_chemical_formula_sum 'Tl1 Mo2 Cl1'
_cell_length_a 6.391
_cell_length_b 6.391
_cell_length_c 6.391
_cell_angle_alpha 150.48
_cell_angle_beta 134.46
_cell_angle_gamma 55.20
_space_group_name_H-M_alt 'P 1'
_space_group_IT_number 1
loop_
_space_group_symop_operation_xyz
'x,y,z'
loop_
_atom_site_label
_atom_site_fract_x
_atom_site_fract_y
_atom_site_fract_z
Cl1 0.197 0.697 0.500
Mo1 0.992 0.992 0.000
Mo2 0.839 0.339 0.500
Tl1 0.472 0.472 0.000
# energy relative to the elements, uncorrected	0.52	eV/atom
# M_tot	0.000	μB/cell
# offset from the most stable computed form	356	meV/atom

---

# TlMo2Cl8 | Alexandria via LeMat-Bulk | PBE | relaxed
data_TlMo2Cl8
_chemical_formula_sum 'Tl1 Mo2 Cl8'
_cell_length_a 4.961
_cell_length_b 9.766
_cell_length_c 9.325
_cell_angle_alpha 126.35
_cell_angle_beta 74.91
_cell_angle_gamma 101.47
_space_group_name_H-M_alt 'P 1'
_space_group_IT_number 1
loop_
_space_group_symop_operation_xyz
'x,y,z'
loop_
_atom_site_label
_atom_site_fract_x
_atom_site_fract_y
_atom_site_fract_z
Cl1 0.778 0.135 0.552
Cl2 0.222 0.865 0.448
Cl3 0.655 0.521 0.309
Cl4 0.168 0.254 0.873
Cl5 0.345 0.479 0.691
Cl6 0.406 0.110 0.275
Cl7 0.594 0.890 0.725
Cl8 0.832 0.746 0.127
Tl1 0.000 0.000 0.000
Mo1 0.713 0.801 0.416
Mo2 0.287 0.199 0.584
# energy relative to the elements, uncorrected	-0.76	eV/atom
# M_tot	5.000	μB/cell
# offset from the most stable computed form	0	meV/atom